(1)
Here is a relaxed structure of Gd4SeBrN2 from OQMD via LeMat-Bulk. Energies are from GGA-PBE.

The raw total energy is -52.9 eV for the cell shown. The spin magnetization comes out at 0.003 μB/cell.

The structure belongs to space group P-6m2 (No. 187); the cell edges are 3.6561, 3.6561 and 13.6626 Å and the angles 90.00°, 90.00° and 120.00°. The inequivalent atoms are Gd at (0.0000, 0.0000, 0.1476), Gd at (0.6667, 0.3333, 0.3356), Se at (0.6667, 0.3333, 0.0000), Br at (0.0000, 0.0000, 0.5000) and N at (0.3333, 0.6667, 0.2457).



(2)
Here is a relaxed structure of SmGdBr2N from OQMD via LeMat-Bulk. Energies are from GGA-PBE.

The raw total energy is -29.5 eV for the cell shown. The spin magnetization comes out at 0.003 μB/cell.

The structure belongs to space group P3m1 (No. 156); the cell edges are 3.7223, 3.7223 and 10.5766 Å and the angles 90.00°, 90.00° and 120.00°. The inequivalent atoms are Sm at (0.0000, 0.0000, 0.0000), Gd at (0.6667, 0.3333, 0.7503), Br at (0.0000, 0.0000, 0.5652), Br at (0.6667, 0.3333, 0.1893) and N at (0.3333, 0.6667, 0.8696).



(3)
Here is a relaxed structure of GdYBr2N from OQMD via LeMat-Bulk. Energies are from GGA-PBE.

The raw total energy is -31.4 eV for the cell shown. The spin magnetization comes out at 0.009 μB/cell.

The structure belongs to space group P3m1 (No. 156); the cell edges are 3.6829, 3.6829 and 10.4921 Å and the angles 90.00°, 90.00° and 120.00°. The inequivalent atoms are Gd at (0.0000, 0.0000, 0.0000), Y at (0.3333, 0.6667, 0.2483), Br at (0.0000, 0.0000, 0.4336), Br at (0.3333, 0.6667, 0.8119) and N at (0.6667, 0.3333, 0.1270).



(4)
Here is a relaxed structure of Na3GdBr6 from OQMD via LeMat-Bulk. Energies are from GGA-PBE.

The polymorph energy (0 for the lowest one) comes out at 4 meV/atom. The spin magnetization comes out at 0.003 μB/cell.

The structure belongs to space group P2_1/c (No. 14); the cell edges are 7.254, 7.720 and 12.891 Å and the angles 90.00°, 123.38° and 90.00°. The inequivalent atoms are Na at (0.000, 0.000, 0.000), Na at (0.209, 0.084, 0.735), Gd at (0.500, 0.000, 0.500), Br at (0.113, 0.179, 0.433), Br at (0.253, 0.689, 0.421) and Br at (0.401, 0.063, 0.257).



(5)
Here is a relaxed structure of Na3GdBr6 from OQMD via LeMat-Bulk. Energies are from GGA-PBE.

The polymorph energy (0 for the lowest one) comes out at 0 meV/atom. The spin magnetization comes out at 0.002 μB/cell.

The structure belongs to space group R-3 (No. 148, hexagonal axes); the cell edges are 7.4408, 7.4408 and 19.8046 Å and the angles 90.00°, 90.00° and 120.00°. The inequivalent atoms are Na at (0.0000, 0.0000, 0.0000), Na at (0.0000, 0.0000, 0.3052), Gd at (0.0000, 0.0000, 0.5000) and Br at (0.0182, 0.6462, 0.2514).



(6)
Here is a relaxed structure of GdNbBr2O2 from OQMD via LeMat-Bulk. Energies are from GGA-PBE.

The raw total energy is -40.2 eV for the cell shown. The spin magnetization comes out at 2.003 μB/cell.

The structure belongs to space group P4mm (No. 99); the cell edges are 3.773, 3.773 and 8.280 Å and the angles 90.00°, 90.00° and 90.00°. The inequivalent atoms are Gd at (0.000, 0.000, 0.000), Nb at (0.500, 0.500, 0.273), Br at (0.000, 0.000, 0.465), Br at (0.500, 0.500, 0.805) and O at (0.000, 0.500, 0.148).



(7)
Here is a relaxed structure of NdGdBr2O2 from OQMD via LeMat-Bulk. Energies are from GGA-PBE.

The raw total energy is -40.0 eV for the cell shown. The spin magnetization comes out at 0.003 μB/cell.

The structure belongs to space group P4mm (No. 99); the cell edges are 3.926, 3.926 and 8.374 Å and the angles 90.00°, 90.00° and 90.00°. The inequivalent atoms are Nd at (0.000, 0.000, 0.000), Gd at (0.500, 0.500, 0.715), Br at (0.000, 0.000, 0.522), Br at (0.500, 0.500, 0.194) and O at (0.000, 0.500, 0.851).



(8)
Here is a relaxed structure of NdGdSi2Br2 from OQMD via LeMat-Bulk. Energies are from GGA-PBE.

The raw total energy is -31.1 eV for the cell shown. The spin magnetization comes out at 0.002 μB/cell.

The structure belongs to space group P3m1 (No. 156); the cell edges are 4.0955, 4.0955 and 11.2566 Å and the angles 90.00°, 90.00° and 120.00°. The inequivalent atoms are Nd at (0.0000, 0.0000, 0.0000), Gd at (0.0000, 0.0000, 0.3495), Si at (0.3333, 0.6667, 0.1860), Si at (0.6667, 0.3333, 0.1717), Br at (0.3333, 0.6667, 0.8310) and Br at (0.6667, 0.3333, 0.5113).